# Fe2CoO6, relaxed, DFT PBE+U
# Polymorph energy (0 for the lowest one) = 1.2 kJ/mol of atoms
# Total magnetization = 9.0 μB per formula unit
data_Fe2CoO6
_symmetry_space_group_name_H-M 'P 3 2 1'
_symmetry_Int_Tables_number 150
_symmetry_space_group_name_Hall 'P 3 2"'
_cell_length_a 8.3954
_cell_length_b 8.3954
_cell_length_c 4.3806
_cell_angle_alpha 90.00
_cell_angle_beta 90.00
_cell_angle_gamma 120.00
loop_
_atom_site_label
_atom_site_fract_x
_atom_site_fract_y
_atom_site_fract_z
Fe1 0.0000 0.3110 0.0000
Fe2 0.0000 0.6465 0.5000
Co1 0.0000 0.0000 0.5000
Co2 0.3333 0.6667 0.0071
O1 0.0983 0.8825 0.2694
O2 0.1183 0.5428 0.2396
O3 0.2256 0.4512 0.7727